This record from the Alexandria database describes Rb3FeAg2F9 after structural relaxation. The functional is PBE with a Hubbard U.

Cell: 6.234 6.234 7.665 Å, 90.00 90.00 120.00°
Fractional positions:
Rb  0.000  0.000  0.000
Rb  0.333  0.667  0.687
Rb  0.667  0.333  0.313
Fe  0.000  0.000  0.500
Ag  0.333  0.667  0.178
Ag  0.667  0.333  0.822
F  0.000  0.500  0.000
F  0.149  0.298  0.353
F  0.149  0.851  0.353
F  0.298  0.149  0.647
F  0.500  0.000  0.000
F  0.500  0.500  0.000
F  0.702  0.851  0.353
F  0.851  0.149  0.647
F  0.851  0.702  0.647

- Final energy: -64.1 eV/f.u.
- DOS(E_F): 2.32 states/eV per cell
- Calculated volume: 17.2 Å³/atom